Rb2ErSi2O6: optimized geometry, PBE-GGA.

Summary:
Raw formation energy: -2.56 eV per atom
E: -6.837 eV/atom

POSCAR file:
```
Rb2ErSi2O6
1.0
2.958 1.708 5.913
-2.958 1.708 5.913
0.000 -3.415 5.913
Rb Er Si O
2 1 2 6
Direct
0.218 0.218 0.218
0.782 0.782 0.782
0.000 0.000 0.000
0.426 0.426 0.426
0.574 0.574 0.574
0.253 0.253 0.718
0.253 0.718 0.253
0.282 0.747 0.747
0.718 0.253 0.253
0.747 0.282 0.747
0.747 0.747 0.282
```